# RbAgSnTe3 (GGA-PBE, optimized geometry)
# Crystal system   orthorhombic
# Calculated total energy   -3.24 eV per atom
data_RbAgSnTe3
_chemical_formula_sum 'Rb4 Ag4 Sn4 Te12'
_space_group_name_H-M_alt 'P n m a'
_space_group_IT_number 62
_cell_length_a 14.370
_cell_length_b 4.707
_cell_length_c 12.227
_cell_angle_alpha 90.00
_cell_angle_beta 90.00
_cell_angle_gamma 90.00
loop_
_space_group_symop_operation_xyz
'x,y,z'
'-x,-y,-z'
'-x+1/2,-y,z+1/2'
'x+1/2,y,-z+1/2'
'x+1/2,-y+1/2,-z+1/2'
'-x+1/2,y+1/2,z+1/2'
'-x,y+1/2,-z'
'x,-y+1/2,z'
loop_
_atom_site_label
_atom_site_type_symbol
_atom_site_fract_x
_atom_site_fract_y
_atom_site_fract_z
Rb1 Rb 0.155 0.250 0.006
Ag1 Ag 0.234 0.750 0.217
Sn1 Sn 0.020 0.750 0.649
Te1 Te 0.044 0.750 0.210
Te2 Te 0.122 0.250 0.521
Te3 Te 0.187 0.750 0.779

***

# ErAg (GGA-PBE, optimized geometry)
# Crystal system   cubic
# Calculated formation energy   -0.347 eV/atom
data_ErAg
_chemical_formula_sum 'Er1 Ag1'
_space_group_name_H-M_alt 'P m -3 m'
_space_group_IT_number 221
_space_group_name_Hall '-P 4 2 3'
_cell_length_a 3.592
_cell_length_b 3.592
_cell_length_c 3.592
_cell_angle_alpha 90.00
_cell_angle_beta 90.00
_cell_angle_gamma 90.00
loop_
_atom_site_label
_atom_site_type_symbol
_atom_site_fract_x
_atom_site_fract_y
_atom_site_fract_z
Er1 Er 0.000 0.000 0.000
Ag1 Ag 0.500 0.500 0.500

***

# NbAsIrO (GGA-PBE, optimized geometry)
# Crystal system   tetragonal
# Polymorph energy (0 for the lowest one)   1.4 kJ/mol of formula units
data_NbAsIrO
_chemical_formula_sum 'Nb2 As2 Ir2 O2'
_space_group_name_H-M_alt 'P 4/n m m'
_space_group_IT_number 129
_cell_length_a 3.980
_cell_length_b 3.980
_cell_length_c 6.870
_cell_angle_alpha 90.00
_cell_angle_beta 90.00
_cell_angle_gamma 90.00
loop_
_space_group_symop_operation_xyz
'x,y,z'
'-x,-y,-z'
'-y+1/2,x,z'
'y+1/2,-x,-z'
'-x+1/2,-y+1/2,z'
'x+1/2,y+1/2,-z'
'y,-x+1/2,z'
'-y,x+1/2,-z'
'x+1/2,-y,-z'
'-x+1/2,y,z'
'-y,-x,-z'
'y,x,z'
'-x,y+1/2,-z'
'x,-y+1/2,z'
'y+1/2,x+1/2,-z'
'-y+1/2,-x+1/2,z'
loop_
_atom_site_label
_atom_site_type_symbol
_atom_site_fract_x
_atom_site_fract_y
_atom_site_fract_z
Nb1 Nb 0.250 0.250 0.148
As1 As 0.250 0.250 0.722
Ir1 Ir 0.250 0.750 0.500
O1 O 0.250 0.750 0.000

***

# HfReAsO (GGA-PBE, optimized geometry)
# Crystal system   orthorhombic
# Polymorph energy (0 for the lowest one)   68.8 kJ/mol of formula units
data_HfReAsO
_chemical_formula_sum 'Hf2 Re2 As2 O2'
_space_group_name_H-M_alt 'P m c 21'
_space_group_IT_number 26
_cell_length_a 4.126
_cell_length_b 5.619
_cell_length_c 5.422
_cell_angle_alpha 90.00
_cell_angle_beta 90.00
_cell_angle_gamma 90.00
loop_
_space_group_symop_operation_xyz
'x,y,z'
'-x,-y,z+1/2'
'-x,y,z'
'x,-y,z+1/2'
loop_
_atom_site_label
_atom_site_type_symbol
_atom_site_fract_x
_atom_site_fract_y
_atom_site_fract_z
Hf1 Hf 0.000 0.215 0.000
Re1 Re 0.500 0.500 0.249
As1 As 0.000 0.281 0.500
O1 O 0.500 0.198 0.998

***

# ZnCoAsPt (GGA-PBE, optimized geometry)
# Crystal system   cubic
# Polymorph energy (0 for the lowest one)   44.8 kJ/mol of formula units
data_ZnCoAsPt
_chemical_formula_sum 'Zn4 Co4 As4 Pt4'
_space_group_name_H-M_alt 'F -4 3 m'
_space_group_IT_number 216
_space_group_name_Hall 'F -4 2 3'
_cell_length_a 6.146
_cell_length_b 6.146
_cell_length_c 6.146
_cell_angle_alpha 90.00
_cell_angle_beta 90.00
_cell_angle_gamma 90.00
loop_
_atom_site_label
_atom_site_type_symbol
_atom_site_fract_x
_atom_site_fract_y
_atom_site_fract_z
Zn1 Zn 0.000 0.000 0.000
Co1 Co 0.000 0.000 0.500
As1 As 0.250 0.250 0.250
Pt1 Pt 0.250 0.250 0.750

***

# LaSnTe2AuS (GGA-PBE, optimized geometry)
# Crystal system   orthorhombic
# Calculated total energy   -4.56 eV per atom
data_LaSnTe2AuS
_chemical_formula_sum 'La4 Sn4 Te8 Au4 S4'
_space_group_name_H-M_alt 'C m c m'
_space_group_IT_number 63
_space_group_name_Hall '-C 2c 2'
_cell_length_a 4.351
_cell_length_b 14.645
_cell_length_c 10.666
_cell_angle_alpha 90.00
_cell_angle_beta 90.00
_cell_angle_gamma 90.00
loop_
_atom_site_label
_atom_site_type_symbol
_atom_site_fract_x
_atom_site_fract_y
_atom_site_fract_z
La1 La 0.000 0.000 0.000
Sn1 Sn 0.000 0.268 0.250
Te1 Te 0.000 0.343 0.567
Au1 Au 0.000 0.479 0.750
S1 S 0.000 0.081 0.750

***

# GaFeBi2 (GGA-PBE, optimized geometry)
# Crystal system   cubic
# Calculated total energy   -4.24 eV per atom
data_GaFeBi2
_chemical_formula_sum 'Ga4 Fe4 Bi8'
_space_group_name_H-M_alt 'F -4 3 m'
_space_group_IT_number 216
_space_group_name_Hall 'F -4 2 3'
_cell_length_a 7.120
_cell_length_b 7.120
_cell_length_c 7.120
_cell_angle_alpha 90.00
_cell_angle_beta 90.00
_cell_angle_gamma 90.00
loop_
_atom_site_label
_atom_site_type_symbol
_atom_site_fract_x
_atom_site_fract_y
_atom_site_fract_z
Ga1 Ga 0.000 0.000 0.000
Fe1 Fe 0.250 0.250 0.250
Bi1 Bi 0.000 0.000 0.500
Bi2 Bi 0.250 0.250 0.750

***

# SrCuP2Os (GGA-PBE, optimized geometry)
# Crystal system   tetragonal
# Calculated total energy   -5.98 eV per atom
data_SrCuP2Os
_chemical_formula_sum 'Sr2 Cu2 P4 Os2'
_space_group_name_H-M_alt 'I -4 m 2'
_space_group_IT_number 119
_space_group_name_Hall 'I -4 -2'
_cell_length_a 3.956
_cell_length_b 3.956
_cell_length_c 11.741
_cell_angle_alpha 90.00
_cell_angle_beta 90.00
_cell_angle_gamma 90.00
loop_
_atom_site_label
_atom_site_type_symbol
_atom_site_fract_x
_atom_site_fract_y
_atom_site_fract_z
Sr1 Sr 0.000 0.000 0.000
Cu1 Cu 0.000 0.500 0.750
P1 P 0.000 0.000 0.357
Os1 Os 0.000 0.500 0.250

***

# GdOsNO (GGA-PBE, optimized geometry)
# Crystal system   orthorhombic
# Polymorph energy (0 for the lowest one)   100.1 kJ/mol of formula units
data_GdOsNO
_chemical_formula_sum 'Gd2 Os2 N2 O2'
_space_group_name_H-M_alt 'P m c 21'
_space_group_IT_number 26
_cell_length_a 3.760
_cell_length_b 5.613
_cell_length_c 4.986
_cell_angle_alpha 90.00
_cell_angle_beta 90.00
_cell_angle_gamma 90.00
loop_
_space_group_symop_operation_xyz
'x,y,z'
'-x,-y,z+1/2'
'-x,y,z'
'x,-y,z+1/2'
loop_
_atom_site_label
_atom_site_type_symbol
_atom_site_fract_x
_atom_site_fract_y
_atom_site_fract_z
Gd1 Gd 0.000 0.204 0.000
Os1 Os 0.500 0.364 0.504
N1 N 0.000 0.348 0.497
O1 O 0.500 0.058 0.757

***

# Nd3Sm3CoTe2 (GGA-PBE, optimized geometry)
# Crystal system   hexagonal
# Polymorph energy (0 for the lowest one)   23.6 kJ/mol of formula units
data_Nd3Sm3CoTe2
_chemical_formula_sum 'Nd3 Sm3 Co1 Te2'
_space_group_name_H-M_alt 'P -6 2 m'
_space_group_IT_number 189
_space_group_name_Hall 'P -6 -2'
_cell_length_a 8.6357
_cell_length_b 8.6357
_cell_length_c 3.9402
_cell_angle_alpha 90.00
_cell_angle_beta 90.00
_cell_angle_gamma 120.00
loop_
_atom_site_label
_atom_site_type_symbol
_atom_site_fract_x
_atom_site_fract_y
_atom_site_fract_z
Nd1 Nd 0.0000 0.2369 0.0000
Sm1 Sm 0.0000 0.5885 0.5000
Co1 Co 0.0000 0.0000 0.5000
Te1 Te 0.3333 0.6667 0.0000

***

# Er5H (GGA-PBE, optimized geometry)
# Crystal system   hexagonal
# Calculated total energy   -3.34 eV per atom
data_Er5H
_chemical_formula_sum 'Er5 H1'
_space_group_name_H-M_alt 'P 6/m m m'
_space_group_IT_number 191
_space_group_name_Hall '-P 6 2'
_cell_length_a 6.3723
_cell_length_b 6.3723
_cell_length_c 5.8761
_cell_angle_alpha 90.00
_cell_angle_beta 90.00
_cell_angle_gamma 120.00
loop_
_atom_site_label
_atom_site_type_symbol
_atom_site_fract_x
_atom_site_fract_y
_atom_site_fract_z
Er1 Er 0.0000 0.5000 0.0000
Er2 Er 0.3333 0.6667 0.5000
H1 H 0.0000 0.0000 0.5000

***

# LiZnF3 (GGA-PBE, optimized geometry)
# Crystal system   orthorhombic
# Calculated total energy   -4.28 eV per atom
data_LiZnF3
_chemical_formula_sum 'Li4 Zn4 F12'
_space_group_name_H-M_alt 'P n m a'
_space_group_IT_number 62
_cell_length_a 5.221
_cell_length_b 7.489
_cell_length_c 5.066
_cell_angle_alpha 90.00
_cell_angle_beta 90.00
_cell_angle_gamma 90.00
loop_
_space_group_symop_operation_xyz
'x,y,z'
'-x,-y,-z'
'-x+1/2,-y,z+1/2'
'x+1/2,y,-z+1/2'
'x+1/2,-y+1/2,-z+1/2'
'-x+1/2,y+1/2,z+1/2'
'-x,y+1/2,-z'
'x,-y+1/2,z'
loop_
_atom_site_label
_atom_site_type_symbol
_atom_site_fract_x
_atom_site_fract_y
_atom_site_fract_z
Li1 Li 0.047 0.250 0.004
Zn1 Zn 0.000 0.000 0.500
F1 F 0.096 0.750 0.645
F2 F 0.168 0.576 0.163